Entry 1:
Here is a relaxed structure of TaGeCl2 from Alexandria via LeMat-Bulk. Energies are from GGA-PBEsol.

```
TaGeCl2
1.0
4.504 0.000 0.000
2.252 3.900 0.000
2.252 1.300 3.677
Ta Cl Ge
1 2 1
Direct
0.500 0.500 0.500 Ta
0.250 0.250 0.250 Cl
0.750 0.750 0.750 Cl
0.000 0.000 0.000 Ge
```

Results
- V (A^3/atom) = 16.15
- formation energy (no corrections) (eV/atom) = 0.3574
- VASP energy (eV per atom) = -5.019
- DOS at the Fermi energy (states/eV per cell) = 1.9



Entry 2:
Here is a relaxed structure of La2FeAg from Alexandria via LeMat-Bulk. Energies are from GGA-PBEsol.

```
La2FeAg
1.0
3.451 0.078 0.000
-0.088 3.450 0.000
0.000 0.000 7.694
La Ag Fe
2 1 1
Direct
0.000 0.000 0.217 La
0.000 0.000 0.783 La
0.500 0.500 0.500 Ag
0.500 0.500 0.000 Fe
```

Results
- V (A^3/atom) = 22.92
- E_form (eV/atom) = 0.04
- VASP energy (eV per atom) = -5.705
- DOS at the Fermi energy (states/eV per cell) = 3.0



Entry 3:
Here is a relaxed structure of BaSn2Bi from Alexandria via LeMat-Bulk. Energies are from GGA-PBEsol.

```
BaSn2Bi
1.0
7.188 0.000 0.000
3.594 6.261 0.027
3.594 2.133 11.138
Sn Bi Ba
8 4 4
Direct
0.767 0.302 0.625 Sn
0.317 0.910 0.871 Sn
0.904 0.322 0.869 Sn
0.097 0.097 0.125 Sn
0.098 0.681 0.124 Sn
0.901 0.910 0.871 Sn
0.306 0.302 0.625 Sn
0.681 0.097 0.125 Sn
0.714 0.703 0.374 Bi
0.301 0.769 0.628 Bi
0.706 0.212 0.376 Bi
0.209 0.703 0.374 Bi
0.631 0.629 0.109 Ba
0.787 0.786 0.640 Ba
0.366 0.370 0.897 Ba
0.214 0.206 0.365 Ba
```

Results
- V (A^3/atom) = 31.30
- E_form (eV/atom) = -0.51
- VASP energy (eV per atom) = -4.247
- DOS at the Fermi energy (states/eV per cell) = 7.7



Entry 4:
Here is a relaxed structure of ZnSbBr4 from Alexandria via LeMat-Bulk. Energies are from GGA-PBEsol.

```
ZnSbBr4
1.0
-1.297 0.623 5.896
3.663 -2.428 4.186
3.417 3.596 3.495
Br Sb Zn
4 1 1
Direct
0.375 0.375 0.375 Br
0.875 0.375 0.375 Br
0.375 0.375 0.875 Br
0.375 0.875 0.375 Br
0.750 0.750 0.750 Sb
0.000 0.000 0.000 Zn
```

Results
- V (A^3/atom) = 26.34
- formation energy (no corrections) (eV/atom) = 0.6480
- VASP energy (eV per atom) = -1.622
- DOS at the Fermi energy (states/eV per cell) = 7.2



Entry 5:
Here is a relaxed structure of BaSeCl2 from Alexandria via LeMat-Bulk. Energies are from GGA-PBEsol.

```
BaSeCl2
1.0
-3.460 0.566 -3.653
-1.041 -3.628 3.933
-3.469 1.231 3.476
Se Ba Cl
1 1 2
Direct
0.500 0.000 0.500 Se
0.000 0.000 0.000 Ba
0.750 0.500 0.750 Cl
0.250 0.500 0.250 Cl
```

Results
- V (A^3/atom) = 26.34
- formation energy (no corrections) (eV/atom) = -1.2687
- VASP energy (eV per atom) = -3.772
- DOS at the Fermi energy (states/eV per cell) = 2.6



Entry 6:
Here is a relaxed structure of Mo2P3O13 from Alexandria via LeMat-Bulk. Energies are from GGA-PBEsol.

```
Mo2P3O13
1.0
6.353 -0.009 0.000
-1.227 7.015 0.000
0.000 0.000 22.234
O P Mo
52 12 8
Direct
0.705 0.989 0.052 O
0.584 0.713 0.441 O
0.280 0.717 0.351 O
0.518 0.717 0.934 O
0.094 0.037 0.789 O
0.239 0.444 0.776 O
0.084 0.213 0.059 O
0.018 0.217 0.566 O
0.603 0.980 0.577 O
0.983 0.562 0.690 O
0.238 0.308 0.661 O
0.780 0.294 0.976 O
0.416 0.287 0.559 O
0.720 0.283 0.649 O
0.280 0.794 0.524 O
0.906 0.963 0.211 O
0.762 0.692 0.339 O
0.982 0.783 0.434 O
0.761 0.556 0.224 O
0.897 0.520 0.077 O
0.694 0.193 0.259 O
0.517 0.938 0.190 O
0.262 0.192 0.161 O
0.771 0.008 0.386 O
0.632 0.309 0.373 O
0.295 0.011 0.948 O
0.868 0.191 0.873 O
0.306 0.807 0.741 O
0.205 0.489 0.448 O
0.594 0.537 0.711 O
0.220 0.706 0.024 O
0.483 0.062 0.810 O
0.916 0.787 0.941 O
0.132 0.809 0.127 O
0.271 0.508 0.114 O
0.738 0.808 0.839 O
0.780 0.217 0.149 O
0.261 0.056 0.276 O
0.397 0.020 0.423 O
0.406 0.463 0.289 O
0.720 0.206 0.476 O
0.729 0.492 0.886 O
0.739 0.944 0.724 O
0.220 0.783 0.851 O
0.194 0.693 0.241 O
0.482 0.283 0.066 O
0.806 0.307 0.759 O
0.795 0.511 0.552 O
0.368 0.691 0.627 O
0.103 0.480 0.923 O
0.229 0.992 0.614 O
0.017 0.438 0.310 O
0.726 0.078 0.202 P
0.774 0.422 0.702 P
0.615 0.142 0.415 P
0.226 0.210 0.600 P
0.774 0.790 0.400 P
0.385 0.858 0.585 P
0.885 0.358 0.915 P
0.274 0.922 0.798 P
0.115 0.642 0.085 P
0.726 0.710 0.900 P
0.226 0.578 0.298 P
0.274 0.290 0.100 P
0.784 0.048 0.791 Mo
0.229 0.777 0.940 Mo
0.284 0.548 0.709 Mo
0.771 0.223 0.060 Mo
0.729 0.277 0.560 Mo
0.716 0.452 0.291 Mo
0.271 0.723 0.440 Mo
0.216 0.952 0.209 Mo
```

Results
- V (A^3/atom) = 13.76
- formation energy (no corrections) (eV/atom) = -2.0703
- VASP energy (eV per atom) = -8.134
- DOS at the Fermi energy (states/eV per cell) = 13.5



Entry 7:
Here is a relaxed structure of BaBeW2 from Alexandria via LeMat-Bulk. Energies are from GGA-PBEsol.

```
BaBeW2
1.0
-0.655 1.311 3.650
1.841 -3.153 1.463
4.269 2.442 -0.110
W Be Ba
2 1 1
Direct
0.500 0.000 0.000 W
0.000 0.500 0.000 W
0.000 0.000 0.500 Be
0.500 0.500 0.500 Ba
```

Results
- V (A^3/atom) = 19.02
- E_form (eV/atom) = 1.70
- VASP energy (eV per atom) = -6.737
- DOS at the Fermi energy (states/eV per cell) = 4.2



Entry 8:
Here is a relaxed structure of LaZnPt from Alexandria via LeMat-Bulk. Energies are from GGA-PBEsol.

```
LaZnPt
1.0
-3.112 0.189 2.262
2.556 -0.466 3.556
-0.890 4.021 -1.561
Zn La Pt
1 1 1
Direct
0.500 0.667 0.333 Zn
0.000 0.000 0.000 La
0.500 0.333 0.667 Pt
```

Results
- V (A^3/atom) = 21.56
- E_form (eV/atom) = -0.82
- VASP energy (eV per atom) = -5.446
- DOS at the Fermi energy (states/eV per cell) = 1.8